[1]
Material: BaLi3Pt2
Method: DFT, PBE
State: optimized geometry

a b c (Å): 4.294 8.245 7.912
angles (deg): 113.93 90.00 105.09
Positions (direct):
Li: 0.411 0.823 0.349
Li: 0.314 0.628 0.541
Li: 0.686 0.372 0.459
Pt: 0.521 0.042 0.182
Pt: 0.479 0.958 0.818
Li: 0.043 0.087 0.374
Li: 0.957 0.913 0.626
Li: 0.589 0.177 0.651
Pt: 0.189 0.379 0.681
Ba: 0.852 0.704 0.940
Pt: 0.811 0.621 0.319
Ba: 0.148 0.296 0.060

Output
Energy relative to the lowest polymorph listed for this composition in eV per atom: 0.005
E_form in kJ per mole of atoms: -50.7
Fermi-level density of states in states/eV/atom: 0.318
Volume in A^3/atom: 20.45
Space-group type: No. 12
Spin magnetization in μB per cell: 0.00
DFT total energy in eV per atom: -3.817

***

[2]
Material: ThSi2NiOs
Method: DFT, PBE
State: optimized geometry

a b c (Å): 4.061 4.061 5.836
angles (deg): 110.36 110.36 90.00
Positions (direct):
Si: 0.625 0.625 0.249
Ni: 0.250 0.750 0.500
Os: 0.750 0.250 0.500
Th: 0.000 0.000 0.000
Si: 0.375 0.375 0.751

Output
Fermi-level density of states in states/eV/atom: 0.582
E_form (uncorrected) in eV per atom: -0.76
Volume in A^3/atom: 16.76
Space-group type: No. 119
Spin magnetization in μB per cell: 0.00
DFT total energy in eV per atom: -7.811

***

[3]
Material: TbSmHoSc
Method: DFT, PBE
State: optimized geometry

a b c (Å): 5.560 5.560 5.560
angles (deg): 60.00 60.00 60.00
Positions (direct):
Sm: 0.000 0.000 0.000
Tb: 0.500 0.500 0.500
Sc: 0.750 0.750 0.750
Ho: 0.250 0.250 0.250

Output
Energy relative to the lowest polymorph listed for this composition in eV per atom: 0.018
E_form in kJ per mole of atoms: 11.2
Fermi-level density of states in states/eV/atom: 1.696
Volume in A^3/atom: 30.38
Space-group type: No. 216
Spin magnetization in μB per cell: 0.00
DFT total energy in eV per atom: -4.948

***

[4]
Material: TlCrAg2
Method: DFT, PBE
State: optimized geometry

a b c (Å): 3.514 3.514 6.342
angles (deg): 90.00 90.00 90.00
Positions (direct):
Ag: 0.000 0.000 0.019
Cr: 0.000 0.000 0.484
Ag: 0.500 0.500 0.253
Tl: 0.500 0.500 0.744

Output
E_form in kJ per mole of atoms: 35.7
Fermi-level density of states in states/eV/atom: 0.456
Volume in A^3/atom: 19.58
Space-group type: No. 99
Spin magnetization in μB per cell: 4.22
DFT total energy in eV per atom: -4.054

***

[5]
Material: K2SrAlH8
Method: DFT, PBE
State: optimized geometry

a b c (Å): 3.748 6.253 7.022
angles (deg): 79.55 90.47 90.53
Positions (direct):
K: 0.491 0.563 0.213
Al: 0.000 0.000 0.000
H: 0.006 0.167 0.787
H: 0.005 0.764 0.891
H: 0.995 0.236 0.109
Sr: 0.000 0.000 0.500
H: 0.503 0.944 0.903
H: 0.497 0.056 0.097
H: 0.504 0.248 0.487
K: 0.509 0.437 0.787
H: 0.496 0.752 0.513
H: 0.994 0.833 0.213

Output
Fermi-level density of states in states/eV/atom: 0.086
Volume in A^3/atom: 13.49
Space-group type: No. 2
Spin magnetization in μB per cell: 0.00
DFT total energy in eV per atom: -2.951

***

[6]
Material: NiH3Cl
Method: DFT, PBE
State: optimized geometry

a b c (Å): 3.571 3.571 3.571
angles (deg): 90.00 90.00 90.00
Positions (direct):
H: 0.000 0.000 0.500
H: 0.500 0.000 0.000
H: 0.000 0.500 0.000
Ni: 0.500 0.500 0.500
Cl: 0.000 0.000 0.000

Output
Energy relative to the lowest polymorph listed for this composition in eV per atom: 0.748
Fermi-level density of states in states/eV/atom: 0.426
Volume in A^3/atom: 9.11
Space-group type: No. 221
Spin magnetization in μB per cell: 0.00
DFT total energy in eV per atom: -2.160

***

[7]
Material: Ac2Pr6Er
Method: DFT, PBE
State: optimized geometry

a b c (Å): 9.404 9.375 9.404
angles (deg): 66.97 66.50 66.97
Positions (direct):
Pr: 0.330 0.014 0.149
Pr: 0.670 0.986 0.851
Er: 0.756 0.750 0.244
Ac: 0.513 0.822 0.672
Ac: 0.672 0.322 0.513
Ac: 0.328 0.678 0.487
Pr: 0.851 0.486 0.670
Pr: 0.997 0.664 0.839
Pr: 0.410 0.419 0.918
Pr: 0.149 0.514 0.330
Er: 0.244 0.250 0.756
Pr: 0.003 0.336 0.161
Pr: 0.082 0.081 0.590
Ac: 0.487 0.178 0.328
Pr: 0.161 0.836 0.003
Pr: 0.590 0.581 0.082
Pr: 0.918 0.919 0.410
Pr: 0.839 0.164 0.997

Output
Energy relative to the lowest polymorph listed for this composition in eV per atom: 0.007
E_form in kJ per mole of atoms: 7.9
Fermi-level density of states in states/eV/atom: 1.520
Volume in A^3/atom: 37.34
Space-group type: No. 15
Spin magnetization in μB per cell: 0.00
DFT total energy in eV per atom: -4.524

***

[8]
Material: FeHg3I
Method: DFT, PBE
State: optimized geometry

a b c (Å): 5.324 5.324 5.324
angles (deg): 90.00 90.00 90.00
Positions (direct):
I: 0.500 0.500 0.500
Fe: 0.000 0.000 0.000
Hg: 0.000 0.500 0.000
Hg: 0.500 0.000 0.000
Hg: 0.000 0.000 0.500

Output
Energy relative to the lowest polymorph listed for this composition in eV per atom: 0.000
Fermi-level density of states in states/eV/atom: 0.654
E_form (uncorrected) in eV per atom: 0.29
Volume in A^3/atom: 30.18
Space-group type: No. 221
Spin magnetization in μB per cell: 3.30
DFT total energy in eV per atom: -1.892

***

[9]
Material: RbLiCr2Cu
Method: DFT, PBE
State: optimized geometry

a b c (Å): 5.044 4.864 5.044
angles (deg): 90.00 90.00 90.00
Positions (direct):
Rb: 0.500 0.500 0.500
Cr: 0.000 0.000 0.500
Li: 0.000 0.000 0.000
Cu: 0.000 0.500 0.000
Cr: 0.500 0.000 0.000

Output
E_form in kJ per mole of atoms: 111.2
Fermi-level density of states in states/eV/atom: 0.510
Volume in A^3/atom: 24.75
Space-group type: No. 123
Spin magnetization in μB per cell: 9.64
DFT total energy in eV per atom: -4.093

***

[10]
Material: GaRe2W
Method: DFT, PBE
State: optimized geometry

a b c (Å): 7.256 7.256 5.762
angles (deg): 50.98 50.98 90.00
Positions (direct):
Ga: 0.250 0.750 0.500
Re: 0.375 0.352 0.750
W: 0.750 0.250 0.500
Ga: 0.500 0.500 0.000
Re: 0.648 0.125 0.250
Re: 0.102 0.625 0.250
W: 0.000 0.000 0.000
Re: 0.875 0.898 0.750

Output
E_form in kJ per mole of atoms: 93.1
Fermi-level density of states in states/eV/atom: 0.970
Volume in A^3/atom: 17.26
Space-group type: No. 122
Spin magnetization in μB per cell: 0.00
DFT total energy in eV per atom: -9.254

***

[11]
Material: CsMgTl2Cd
Method: DFT, PBE
State: optimized geometry

a b c (Å): 5.759 5.759 5.788
angles (deg): 90.00 90.00 90.00
Positions (direct):
Tl: 0.000 0.500 0.000
Mg: 0.000 0.000 0.000
Tl: 0.500 0.000 0.000
Cs: 0.500 0.500 0.500
Cd: 0.000 0.000 0.500

Output
E_form in kJ per mole of atoms: 8.2
Fermi-level density of states in states/eV/atom: 0.700
Volume in A^3/atom: 38.39
Space-group type: No. 123
Spin magnetization in μB per cell: 0.00
DFT total energy in eV per atom: -1.534

***

[12]
Material: LiZrIr2
Method: DFT, PBE
State: optimized geometry

a b c (Å): 6.921 6.921 5.610
angles (deg): 51.92 51.92 90.00
Positions (direct):
Ir: 0.875 0.852 0.750
Ir: 0.602 0.125 0.250
Ir: 0.375 0.398 0.750
Zr: 0.750 0.250 0.500
Zr: 0.000 0.000 0.000
Li: 0.250 0.750 0.500
Ir: 0.148 0.625 0.250
Li: 0.500 0.500 0.000

Output
Energy relative to the lowest polymorph listed for this composition in eV per atom: 0.501
E_form in kJ per mole of atoms: -6.5
Fermi-level density of states in states/eV/atom: 0.654
Volume in A^3/atom: 16.43
Space-group type: No. 122
Spin magnetization in μB per cell: 0.00
DFT total energy in eV per atom: -7.114

***

[13]
Material: CeNdCo
Method: DFT, PBE
State: optimized geometry

a b c (Å): 4.083 4.750 9.869
angles (deg): 90.01 78.30 125.59
Positions (direct):
Co: 0.052 0.026 0.285
Nd: 0.481 0.740 0.132
Nd: 0.519 0.260 0.868
Co: 0.948 0.974 0.715
Ce: 0.445 0.722 0.601
Ce: 0.555 0.278 0.399

Output
Energy relative to the lowest polymorph listed for this composition in eV per atom: 0.032
E_form in kJ per mole of atoms: -8.9
Fermi-level density of states in states/eV/atom: 1.439
Volume in A^3/atom: 25.12
Space-group type: No. 12
Spin magnetization in μB per cell: 0.04
DFT total energy in eV per atom: -6.028